This record from Alexandria describes PtRhBr after structural relaxation. The functional is GGA-PBE.

## Properties
Energy above the most stable polymorph in this dataset = 0.100 eV/atom
Space group = Amm2, No. 38
Formation energy without anion corrections = 0.461 eV/atom

abc: 3.0264 3.6839 11.0515
angles: 90.00 90.00 114.25
Last column: nearest neighbours and their distance in Å.
Element x y z (fractional)
Pt 0.5477 0.0953 0.0000  4 Br 2.66
Pt 0.4677 0.9354 0.5000  6 Rh 2.60-2.64
Rh 0.7639 0.5278 0.3491  3 Pt 2.60-2.64, 3 Br 2.61-2.64
Rh 0.7639 0.5278 0.6509  3 Pt 2.60-2.64, 3 Br 2.61-2.64
Br 0.0617 0.1234 0.8028  3 Rh 2.61-2.64, 2 Pt 2.66
Br 0.0617 0.1234 0.1972  3 Rh 2.61-2.64, 2 Pt 2.66